Co2TcSe | GGA-PBEsol | optimized geometry

a b c (Å): 2.926 2.926 5.868
angles (deg): 90.00 90.00 90.00
Sites, in units of the cell vectors:
1 Co 0.000 0.000 0.000
2 Co 0.500 0.500 0.231
3 Tc 0.500 0.500 0.744
4 Se 0.000 0.000 0.478

Total magnetic moment in μB per cell: 3.11
Final energy in eV per atom: -7.4441
DOS(E_F) in states/eV per cell: 4.544

RbAgTe2Ir | GGA-PBEsol | optimized geometry

a b c (Å): 5.130 5.130 6.061
angles (deg): 90.00 90.00 90.00
Sites, in units of the cell vectors:
1 Rb 0.000 0.000 0.000
2 Ag 0.500 0.500 0.000
3 Te 0.000 0.500 0.500
4 Te 0.500 0.000 0.500
5 Ir 0.000 0.000 0.500

Total magnetic moment in μB per cell: 0.00
Final energy in eV per atom: -3.7164
DOS(E_F) in states/eV per cell: 4.790

LiGe3Te | GGA-PBEsol | optimized geometry

a b c (Å): 4.676 4.676 4.676
angles (deg): 90.00 90.00 90.00
Sites, in units of the cell vectors:
1 Li 0.000 0.000 0.000
2 Ge 0.000 0.000 0.500
3 Ge 0.000 0.500 0.000
4 Ge 0.500 0.000 0.000
5 Te 0.500 0.500 0.500

Total magnetic moment in μB per cell: 0.00
Final energy in eV per atom: -3.6881
DOS(E_F) in states/eV per cell: 2.802

Eu2SeO2 | GGA-PBEsol | optimized geometry

a b c (Å): 6.738 6.738 6.738
angles (deg): 146.66 146.66 47.86
Sites, in units of the cell vectors:
1 Eu 0.155 0.155 0.000
2 Eu 0.845 0.845 0.000
3 Se 0.500 0.500 0.000
4 O 0.250 0.750 0.500
5 O 0.750 0.250 0.500

Total magnetic moment in μB per cell: 11.99
Final energy in eV per atom: -9.6128
DOS(E_F) in states/eV per cell: 8.913

Sr2LiH | GGA-PBEsol | optimized geometry

a b c (Å): 5.554 5.554 5.554
angles (deg): 60.00 60.00 60.00
Sites, in units of the cell vectors:
1 Sr 0.250 0.250 0.250
2 Sr 0.750 0.750 0.750
3 Li 0.000 0.000 0.000
4 H 0.500 0.500 0.500

Total magnetic moment in μB per cell: 0.00
Final energy in eV per atom: -1.9690
DOS(E_F) in states/eV per cell: 3.603

Ga2SiTc2 | GGA-PBEsol | optimized geometry

a b c (Å): 6.368 6.368 3.617
angles (deg): 90.00 90.00 90.00
Sites, in units of the cell vectors:
1 Ga 0.146 0.354 0.000
2 Ga 0.354 0.854 0.000
3 Ga 0.646 0.146 0.000
4 Ga 0.854 0.646 0.000
5 Si 0.000 0.000 0.500
6 Si 0.500 0.500 0.500
7 Tc 0.158 0.658 0.500
8 Tc 0.342 0.158 0.500
9 Tc 0.658 0.842 0.500
10 Tc 0.842 0.342 0.500

Total magnetic moment in μB per cell: 0.00
Final energy in eV per atom: -7.1945
DOS(E_F) in states/eV per cell: 6.405

NaTl2Pb2 | GGA-PBEsol | optimized geometry

a b c (Å): 9.070 9.070 3.692
angles (deg): 90.00 90.00 90.00
Sites, in units of the cell vectors:
1 Na 0.000 0.000 0.000
2 Na 0.500 0.500 0.000
3 Tl 0.164 0.336 0.500
4 Tl 0.336 0.836 0.500
5 Tl 0.664 0.164 0.500
6 Tl 0.836 0.664 0.500
7 Pb 0.132 0.632 0.000
8 Pb 0.368 0.132 0.000
9 Pb 0.632 0.868 0.000
10 Pb 0.868 0.368 0.000

Total magnetic moment in μB per cell: 0.00
Energy relative to the elements in kJ per mole of atoms: 0
Final energy in eV per atom: -2.9296
DOS(E_F) in states/eV per cell: 5.538
Polymorph energy (0 for the lowest one) in meV per atom: 0

TiPtIN2 | GGA-PBEsol | optimized geometry

a b c (Å): 3.796 3.796 6.861
angles (deg): 90.00 90.00 90.00
Sites, in units of the cell vectors:
1 Ti 0.000 0.000 0.000
2 Pt 0.500 0.500 0.500
3 I 0.500 0.500 0.000
4 N 0.000 0.500 0.500
5 N 0.500 0.000 0.500

Total magnetic moment in μB per cell: 2.11
Final energy in eV per atom: -5.6675
DOS(E_F) in states/eV per cell: 5.821

Be3Pt | GGA-PBEsol | optimized geometry

a b c (Å): 3.827 3.827 3.827
angles (deg): 60.00 60.00 60.00
Sites, in units of the cell vectors:
1 Be 0.000 0.000 0.000
2 Be 0.250 0.250 0.250
3 Be 0.750 0.750 0.750
4 Pt 0.500 0.500 0.500

Total magnetic moment in μB per cell: 0.00
Energy relative to the elements in kJ per mole of atoms: -40
Final energy in eV per atom: -5.1573
DOS(E_F) in states/eV per cell: 0.750

BaSi2As | GGA-PBEsol | optimized geometry

a b c (Å): 3.666 3.666 6.613
angles (deg): 90.00 90.00 90.00
Sites, in units of the cell vectors:
1 Ba 0.000 0.000 0.000
2 Si 0.000 0.000 0.489
3 Si 0.500 0.500 0.324
4 As 0.500 0.500 0.676

Total magnetic moment in μB per cell: 0.00
Final energy in eV per atom: -4.8109
DOS(E_F) in states/eV per cell: 1.931

SrTeHW2 | GGA-PBEsol | optimized geometry

a b c (Å): 4.884 4.884 6.306
angles (deg): 90.00 90.00 90.00
Sites, in units of the cell vectors:
1 Sr 0.000 0.000 0.000
2 Te 0.000 0.000 0.500
3 H 0.500 0.500 0.000
4 W 0.000 0.500 0.500
5 W 0.500 0.000 0.500

Total magnetic moment in μB per cell: 1.62
Final energy in eV per atom: -5.0409
DOS(E_F) in states/eV per cell: 5.924

TiSiAg2O5 | GGA-PBEsol | optimized geometry

a b c (Å): 6.484 6.484 5.384
angles (deg): 90.00 90.00 90.00
Sites, in units of the cell vectors:
1 Ti 0.250 0.250 0.066
2 Ti 0.750 0.750 0.934
3 Si 0.250 0.750 0.000
4 Si 0.750 0.250 0.000
5 Ag 0.000 0.000 0.500
6 Ag 0.000 0.500 0.500
7 Ag 0.500 0.000 0.500
8 Ag 0.500 0.500 0.500
9 O 0.042 0.750 0.827
10 O 0.250 0.250 0.748
11 O 0.250 0.542 0.173
12 O 0.250 0.958 0.173
13 O 0.458 0.750 0.827
14 O 0.542 0.250 0.173
15 O 0.750 0.042 0.827
16 O 0.750 0.458 0.827
17 O 0.750 0.750 0.252
18 O 0.958 0.250 0.173

Total magnetic moment in μB per cell: 0.00
Final energy in eV per atom: -7.1116

LiZr2FePt | GGA-PBEsol | optimized geometry

a b c (Å): 5.022 5.022 4.334
angles (deg): 90.00 90.00 90.00
Sites, in units of the cell vectors:
1 Li 0.000 0.000 0.000
2 Zr 0.000 0.500 0.500
3 Zr 0.500 0.000 0.500
4 Fe 0.500 0.500 0.000
5 Pt 0.000 0.000 0.500

Total magnetic moment in μB per cell: 1.63
Energy relative to the elements in kJ per mole of atoms: 57
Final energy in eV per atom: -6.6275
DOS(E_F) in states/eV per cell: 7.331

FeSe3 | GGA-PBEsol | optimized geometry

a b c (Å): 3.056 3.056 9.236
angles (deg): 90.00 90.00 120.00
Sites, in units of the cell vectors:
1 Fe 0.000 0.000 0.000
2 Se 0.000 0.000 0.500
3 Se 0.333 0.667 0.172
4 Se 0.333 0.667 0.828

Total magnetic moment in μB per cell: 1.62
Final energy in eV per atom: -5.1255
DOS(E_F) in states/eV per cell: 1.819

ZnTc2Sb | GGA-PBEsol | optimized geometry

a b c (Å): 5.089 5.089 2.956
angles (deg): 103.66 103.66 113.72
Sites, in units of the cell vectors:
1 Zn 0.000 0.000 0.000
2 Tc 0.000 0.500 0.500
3 Tc 0.500 0.000 0.500
4 Sb 0.500 0.500 0.000

Total magnetic moment in μB per cell: 0.00
Final energy in eV per atom: -6.7591
DOS(E_F) in states/eV per cell: 3.569
Polymorph energy (0 for the lowest one) in meV per atom: 178

FeCuSb2 | GGA-PBEsol | optimized geometry

a b c (Å): 4.577 4.577 4.577
angles (deg): 60.00 60.00 60.00
Sites, in units of the cell vectors:
1 Fe 0.000 0.000 0.000
2 Cu 0.500 0.500 0.500
3 Sb 0.250 0.250 0.250
4 Sb 0.750 0.750 0.750

Total magnetic moment in μB per cell: 1.02
Final energy in eV per atom: -5.2214
DOS(E_F) in states/eV per cell: 4.274

BaZnCo2 | GGA-PBEsol | optimized geometry

a b c (Å): 4.428 4.428 3.424
angles (deg): 90.00 90.00 90.00
Sites, in units of the cell vectors:
1 Ba 0.000 0.000 0.000
2 Zn 0.500 0.500 0.000
3 Co 0.000 0.500 0.500
4 Co 0.500 0.000 0.500

Total magnetic moment in μB per cell: 1.31
Energy relative to the elements in kJ per mole of atoms: 83
Final energy in eV per atom: -3.9430
DOS(E_F) in states/eV per cell: 6.873

SrGaF2 | GGA-PBEsol | optimized geometry

a b c (Å): 4.320 4.320 4.320
angles (deg): 70.27 70.27 70.27
Sites, in units of the cell vectors:
1 Sr 0.000 0.000 0.000
2 Ga 0.500 0.500 0.500
3 F 0.257 0.257 0.257
4 F 0.743 0.743 0.743

Total magnetic moment in μB per cell: 0.02
Final energy in eV per atom: -4.3059
DOS(E_F) in states/eV per cell: 2.906

CrCu2P | GGA-PBEsol | optimized geometry

a b c (Å): 2.540 2.540 7.563
angles (deg): 90.00 90.00 104.57
Sites, in units of the cell vectors:
1 Cr 0.000 0.000 0.000
2 Cu 0.000 0.000 0.488
3 Cu 0.500 0.500 0.739
4 P 0.500 0.500 0.219

Total magnetic moment in μB per cell: 0.00
Energy relative to the elements in kJ per mole of atoms: 18
Final energy in eV per atom: -5.9878
DOS(E_F) in states/eV per cell: 2.559

Li2BeCl4 | GGA-PBEsol | optimized geometry

a b c (Å): 12.337 7.226 5.752
angles (deg): 90.00 90.00 90.00
Sites, in units of the cell vectors:
1 Li 0.000 0.000 0.000
2 Li 0.000 0.500 0.000
3 Li 0.233 0.250 0.490
4 Li 0.267 0.750 0.990
5 Li 0.500 0.000 0.500
6 Li 0.500 0.500 0.500
7 Li 0.733 0.250 0.010
8 Li 0.767 0.750 0.510
9 Be 0.089 0.750 0.397
10 Be 0.411 0.250 0.897
11 Be 0.589 0.750 0.103
12 Be 0.911 0.250 0.603
13 Cl 0.064 0.250 0.738
14 Cl 0.090 0.750 0.745
15 Cl 0.164 0.526 0.256
16 Cl 0.164 0.974 0.256
17 Cl 0.336 0.026 0.756
18 Cl 0.336 0.474 0.756
19 Cl 0.410 0.250 0.245
20 Cl 0.436 0.750 0.238
21 Cl 0.564 0.250 0.762
22 Cl 0.590 0.750 0.755
23 Cl 0.664 0.526 0.244
24 Cl 0.664 0.974 0.244
25 Cl 0.836 0.026 0.744
26 Cl 0.836 0.474 0.744
27 Cl 0.910 0.250 0.255
28 Cl 0.936 0.750 0.262

Total magnetic moment in μB per cell: 0.00
Final energy in eV per atom: -3.9401
DOS(E_F) in states/eV per cell: 0.000

CaMgGe3 | GGA-PBEsol | optimized geometry

a b c (Å): 4.966 4.966 4.966
angles (deg): 90.00 90.00 90.00
Sites, in units of the cell vectors:
1 Ca 0.000 0.000 0.000
2 Mg 0.500 0.500 0.500
3 Ge 0.000 0.500 0.500
4 Ge 0.500 0.000 0.500
5 Ge 0.500 0.500 0.000

Total magnetic moment in μB per cell: 0.00
Energy relative to the elements in kJ per mole of atoms: 21
Final energy in eV per atom: -3.5148
DOS(E_F) in states/eV per cell: 2.533

KPdIO2 | GGA-PBEsol | optimized geometry

a b c (Å): 4.378 4.378 6.729
angles (deg): 90.00 90.00 90.00
Sites, in units of the cell vectors:
1 K 0.000 0.000 0.000
2 Pd 0.500 0.500 0.500
3 I 0.000 0.000 0.500
4 O 0.000 0.500 0.000
5 O 0.500 0.000 0.000

Total magnetic moment in μB per cell: 3.38
Final energy in eV per atom: -2.9640
DOS(E_F) in states/eV per cell: 7.919

Y2FeHg | GGA-PBEsol | optimized geometry

a b c (Å): 3.821 3.821 6.333
angles (deg): 90.00 90.00 90.00
Sites, in units of the cell vectors:
1 Y 0.000 0.000 0.000
2 Y 0.500 0.500 0.341
3 Fe 0.000 0.000 0.497
4 Hg 0.500 0.500 0.792

Total magnetic moment in μB per cell: 1.55
Energy relative to the elements in kJ per mole of atoms: 7
Final energy in eV per atom: -5.7212
DOS(E_F) in states/eV per cell: 4.332

AlPdAu2 | GGA-PBEsol | optimized geometry

a b c (Å): 5.691 5.691 5.691
angles (deg): 102.49 102.49 124.58
Sites, in units of the cell vectors:
1 Al 0.000 0.000 0.000
2 Al 0.750 0.250 0.500
3 Pd 0.250 0.750 0.500
4 Pd 0.500 0.500 0.000
5 Au 0.103 0.625 0.978
6 Au 0.375 0.353 0.478
7 Au 0.647 0.125 0.022
8 Au 0.875 0.897 0.522

Total magnetic moment in μB per cell: 0.00
Energy relative to the elements in kJ per mole of atoms: -22
Final energy in eV per atom: -4.7004
DOS(E_F) in states/eV per cell: 3.115